Record 1
The following is a GGA-PBE calculation of Rb4AgBr5 after structural relaxation, from the Alexandria database.

a = 6.9894 Å, b = 8.2909 Å, c = 8.2909 Å
α = 79.77°, β = 65.07°, γ = 65.07°
Last column: nearest neighbours and their distance in Å.
Element x y z (fractional)
Br 0.2669 0.8188 0.6436  1 Ag 3.04
Br 0.0857 0.6436 0.1812  1 Ag 3.04
Br 0.7293 0.1812 0.3564  1 Ag 3.04
Br 0.9104 0.3564 0.8188  1 Ag 3.04
Br 0.4558 0.0000 0.0000  1 Ag 2.76
Ag 0.0612 0.0000 0.0000  5 Br 2.76-3.04
Rb 0.4060 0.3923 0.7962  6 Br 3.34-3.67
Rb 0.7983 0.7962 0.6077  6 Br 3.34-3.67
Rb 0.2022 0.2038 0.3923  6 Br 3.34-3.67
Rb 0.5945 0.6077 0.2038  6 Br 3.34-3.67

Summary:
Symmetry: No. 79
DOS at the Fermi energy in states/eV/f.u.: 0.0
Raw total energy in eV per atom: -2.937



Record 2
The following is a GGA-PBE calculation of Ho6C2S2N after structural relaxation, from the Alexandria database.

a = 6.2797 Å, b = 6.2797 Å, c = 6.5851 Å
α = 99.27°, β = 99.27°, γ = 119.75°
Last column: nearest neighbours and their distance in Å.
Element x y z (fractional)
C 0.6690 0.3310 0.5000  6 Ho 2.46-2.50
C 0.3310 0.6690 0.5000  6 Ho 2.46-2.50
N 0.0000 0.0000 0.5000  6 Ho 2.46-2.47
S 0.8329 0.1671 0.0000  6 Ho 2.75-2.76
S 0.1671 0.8329 0.0000  6 Ho 2.75-2.76
Ho 0.9299 0.5969 0.2869  2 C 2.46-2.49, 1 N 2.47, 1 S 2.75
Ho 0.7400 0.7400 0.7106  1 N 2.46, 2 C 2.50, 2 S 2.76
Ho 0.0701 0.4031 0.7131  2 C 2.46-2.49, 1 N 2.47, 1 S 2.75
Ho 0.2600 0.2600 0.2894  1 N 2.46, 2 C 2.50, 2 S 2.76
Ho 0.4031 0.0701 0.7131  2 C 2.46-2.49, 1 N 2.47, 1 S 2.75
Ho 0.5969 0.9299 0.2869  2 C 2.46-2.49, 1 N 2.47, 1 S 2.75

Summary:
Symmetry: No. 12
DOS at the Fermi energy in states/eV/f.u.: 5.0
Raw total energy in eV per atom: -6.943



Record 3
The following is a GGA-PBE calculation of BaTeNCl2 after structural relaxation, from the Alexandria database.

a = 5.1767 Å, b = 7.0774 Å, c = 5.1767 Å
α = 90.00°, β = 90.00°, γ = 90.00°
Last column: nearest neighbours and their distance in Å.
Element x y z (fractional)
Ba 0.0000 0.5000 0.0000  2 Te 3.54, 4 N 3.66
Te 0.0000 0.0000 0.0000  4 Cl 2.59
Cl 0.5000 0.0000 0.0000  2 Te 2.59
Cl 0.0000 0.0000 0.5000  2 Te 2.59
N 0.5000 0.5000 0.5000  4 Ba 3.66

Summary:
Symmetry: No. 123
Distance to the lowest polymorph of the same formula in eV per atom: 0.073
DOS at the Fermi energy in states/eV/f.u.: 4.3
Raw total energy in eV per atom: -3.199



Record 4
The following is a GGA-PBE calculation of YHo2Pu3Se6 after structural relaxation, from the Alexandria database.

a = 4.0934 Å, b = 8.2150 Å, c = 9.1797 Å
α = 102.75°, β = 102.88°, γ = 90.00°
Last column: nearest neighbours and their distance in Å.
Element x y z (fractional)
Se 0.3313 0.4189 0.6627  3 Ho 2.87, 3 Pu 2.93-2.94
Se 0.6662 0.0885 0.3325  2 Ho 2.88, 1 Y 2.90, 3 Pu 2.92
Se 0.6687 0.5811 0.3373  3 Ho 2.87, 3 Pu 2.93-2.94
Se 0.9980 0.7517 0.9959  1 Ho 2.87, 2 Y 2.88, 3 Pu 2.92-2.93
Se 0.0020 0.2483 0.0041  1 Ho 2.87, 2 Y 2.88, 3 Pu 2.92-2.93
Se 0.3338 0.9115 0.6675  2 Ho 2.88, 1 Y 2.90, 3 Pu 2.92
Pu 0.5000 0.5000 0.0000  6 Se 2.92-2.94
Pu 0.8338 0.1652 0.6676  6 Se 2.92-2.93
Pu 0.1662 0.8348 0.3324  6 Se 2.92-2.93
Ho 0.1665 0.3359 0.3329  6 Se 2.87-2.88
Ho 0.8335 0.6641 0.6671  6 Se 2.87-2.88
Y 0.5000 0.0000 0.0000  6 Se 2.88-2.90

Summary:
Symmetry: No. 12
DOS at the Fermi energy in states/eV/f.u.: 27.7
Raw total energy in eV per atom: -8.288



Record 5
The following is a GGA-PBE calculation of Sr3ScBe after structural relaxation, from the Alexandria database.

a = 5.9359 Å, b = 5.9359 Å, c = 5.9359 Å
α = 90.00°, β = 90.00°, γ = 90.00°
Last column: nearest neighbours and their distance in Å.
Element x y z (fractional)
Be 0.0000 0.0000 0.0000  6 Sr 2.97
Sr 0.5000 0.0000 0.0000  2 Be 2.97
Sr 0.0000 0.0000 0.5000  2 Be 2.97
Sr 0.0000 0.5000 0.0000  2 Be 2.97
Sc 0.5000 0.5000 0.5000  12 Sr 4.20

Summary:
Symmetry: No. 221
Distance to the lowest polymorph of the same formula in eV per atom: 0.000
DOS at the Fermi energy in states/eV/f.u.: 10.7
Raw total energy in eV per atom: -2.439
DFT formation energy in kJ per mole of atoms: 56.1



Record 6
The following is a GGA-PBE calculation of Ho8Er5In after structural relaxation, from the Alexandria database.

a = 8.3298 Å, b = 8.3298 Å, c = 8.3298 Å
α = 110.34°, β = 107.75°, γ = 110.34°
Last column: nearest neighbours and their distance in Å.
Element x y z (fractional)
Ho 0.5225 0.6069 0.2645  5 Er 3.28-3.57, 4 Ho 3.56-3.65
Ho 0.0845 0.7420 0.4775  5 Er 3.28-3.57, 4 Ho 3.56-3.65
Ho 0.7355 0.2580 0.3425  5 Er 3.28-3.57, 4 Ho 3.56-3.65
Ho 0.1653 0.7293 0.0703  4 Er 3.10-3.40, 1 In 3.13
Ho 0.3410 0.2707 0.4359  4 Er 3.10-3.40, 1 In 3.13
Ho 0.6575 0.3931 0.9155  5 Er 3.28-3.57, 4 Ho 3.56-3.65
Ho 0.9297 0.0950 0.6590  4 Er 3.10-3.40, 1 In 3.13
Ho 0.5641 0.9050 0.8347  4 Er 3.10-3.40, 1 In 3.13
In 0.2500 0.5000 0.7500  4 Ho 3.13
Er 0.8157 0.6891 0.7112  8 Ho 3.29-3.57, 2 Er 3.50
Er 0.0220 0.3109 0.1266  8 Ho 3.29-3.57, 2 Er 3.50
Er 0.2888 0.1045 0.9780  8 Ho 3.29-3.57, 2 Er 3.50
Er 0.8734 0.8955 0.1843  8 Ho 3.29-3.57, 2 Er 3.50
Er 0.5000 0.0000 0.5000  8 Ho 3.10-3.28

Summary:
Symmetry: No. 82
DOS at the Fermi energy in states/eV/f.u.: 18.1
Raw total energy in eV per atom: -4.253
DFT formation energy in kJ per mole of atoms: 18.1



Record 7
The following is a GGA-PBE calculation of Te2PtI after structural relaxation, from the Alexandria database.

a = 7.7916 Å, b = 7.7916 Å, c = 6.4267 Å
α = 52.69°, β = 52.69°, γ = 90.00°
Last column: nearest neighbours and their distance in Å.
Element x y z (fractional)
I 0.2500 0.7500 0.5000  8 Te 3.21, 2 I 3.31
I 0.7500 0.2500 0.5000  8 Te 3.21, 2 I 3.31
Pt 0.7500 0.7500 0.5000  8 Te 3.21, 2 Pt 3.31
Pt 0.2500 0.2500 0.5000  8 Te 3.21, 2 Pt 3.31
Te 0.2500 0.7500 0.0000  4 I 3.21, 4 Pt 3.21, 2 Te 3.31
Te 0.7500 0.7500 0.0000  4 I 3.21, 4 Pt 3.21, 2 Te 3.31
Te 0.7500 0.2500 0.0000  4 I 3.21, 4 Pt 3.21, 2 Te 3.31
Te 0.2500 0.2500 0.0000  4 I 3.21, 4 Pt 3.21, 2 Te 3.31

Summary:
Symmetry: No. 123
DOS at the Fermi energy in states/eV/f.u.: 3.3
Raw total energy in eV per atom: -2.870



Record 8
The following is a GGA-PBE calculation of SmTcAgO5 after structural relaxation, from the Alexandria database.

a = 6.3577 Å, b = 6.3577 Å, c = 8.6538 Å
α = 109.66°, β = 109.66°, γ = 93.33°
Last column: nearest neighbours and their distance in Å.
Element x y z (fractional)
O 0.3375 0.2888 0.1497  1 Tc 1.80
O 0.6625 0.7112 0.8503  1 Tc 1.80
O 0.2616 0.7588 0.5828  1 Tc 1.78
O 0.7112 0.6625 0.3503  1 Tc 1.80
O 0.2888 0.3375 0.6497  1 Tc 1.80
O 0.7588 0.2616 0.0828  1 Tc 1.78
O 0.2412 0.7384 0.9172  1 Tc 1.78
O 0.0680 0.9320 0.2500  1 Ag 2.13, 2 Sm 2.25
O 0.9320 0.0680 0.7500  1 Ag 2.13, 2 Sm 2.25
O 0.7384 0.2412 0.4172  1 Tc 1.78
Ag 0.7022 0.2978 0.7500  1 O 2.13
Ag 0.2978 0.7022 0.2500  1 O 2.13
Tc 0.3562 0.6438 0.7500  4 O 1.78-1.80
Tc 0.6438 0.3562 0.2500  4 O 1.78-1.80
Sm 0.0000 0.0000 0.5000  6 O 2.25-2.42
Sm 0.0000 0.0000 0.0000  6 O 2.25-2.42

Summary:
Symmetry: No. 15
DOS at the Fermi energy in states/eV/f.u.: 3.6
Raw total energy in eV per atom: -7.019



Record 9
The following is a GGA-PBE calculation of Rb3ZrSe after structural relaxation, from the Alexandria database.

a = 6.6286 Å, b = 6.6286 Å, c = 6.6286 Å
α = 90.00°, β = 90.00°, γ = 90.00°
Last column: nearest neighbours and their distance in Å.
Element x y z (fractional)
Rb 0.0000 0.0000 0.5000  2 Se 3.31
Rb 0.0000 0.5000 0.0000  2 Se 3.31
Rb 0.5000 0.0000 0.0000  2 Se 3.31
Se 0.0000 0.0000 0.0000  6 Rb 3.31
Zr 0.5000 0.5000 0.5000  12 Rb 4.69

Summary:
Symmetry: No. 221
Distance to the lowest polymorph of the same formula in eV per atom: 0.000
DOS at the Fermi energy in states/eV/f.u.: 6.8
Raw total energy in eV per atom: -2.602



Record 10
The following is a GGA-PBE calculation of TcRhW2 after structural relaxation, from the Alexandria database.

a = 4.8665 Å, b = 4.8665 Å, c = 4.8665 Å
α = 132.67°, β = 132.68°, γ = 69.16°
Last column: nearest neighbours and their distance in Å.
Element x y z (fractional)
Tc 0.2500 0.7500 0.5000  8 W 2.76-2.80, 4 Rh 2.80
Rh 0.5000 0.5000 0.0000  8 W 2.76-2.80, 4 Tc 2.80
W 0.7500 0.2500 0.5000  4 Tc 2.76, 4 Rh 2.80, 4 W 2.80
W 0.0000 0.0000 0.0000  4 Rh 2.76, 4 Tc 2.80, 4 W 2.80

Summary:
Symmetry: No. 119
Distance to the lowest polymorph of the same formula in eV per atom: 0.045
DOS at the Fermi energy in states/eV/f.u.: 3.8
Raw total energy in eV per atom: -10.853
DFT formation energy in kJ per mole of atoms: 5.1



- Which of these has the highest raw total energy?
  Sr3ScBe